Zn2BrN meta-GGA SCAN PBEsol geometry; formation energy (no corrections) = -178 kJ/mol of formula units; N(E_F) = 0.000 states/eV/atom
1.0
5.359 0.000 0.000
-2.680 5.517 -0.030
0.000 2.628 4.670
N Br Zn
2 2 4
direct
0.250 0.500 0.250
0.500 0.000 0.500
0.750 0.500 0.750
0.000 0.000 0.000
0.375 0.250 0.262
0.262 0.750 0.875
0.875 0.250 0.488
0.488 0.750 0.375


Cu5As2 meta-GGA SCAN PBEsol geometry; E = -116.2 eV per formula unit; N(E_F) = 0.312 states/eV/atom
1.0
5.443 0.000 0.000
0.000 5.912 0.000
-2.721 -2.956 5.707
Cu As
10 4
direct
0.750 0.500 0.000
0.892 0.090 0.783
0.608 0.306 0.217
0.392 0.694 0.783
0.521 0.271 0.542
0.021 0.271 0.542
0.979 0.729 0.458
0.250 0.500 0.000
0.479 0.729 0.458
0.108 0.910 0.217
0.385 0.103 0.770
0.115 0.333 0.230
0.615 0.897 0.230
0.885 0.667 0.770